(1)
Computed, not measured: a PBEsol-optimized structure of ScAl2Os at the SCAN level of DFT.

abc: 9.8298 9.8298 9.8298
angles: 157.59 157.59 31.90
Closest atoms and distances in Å follow each position.
Positions (direct):
Sc 0.0000 0.0000 0.0000  4 Os 2.70, 4 Al 2.74
Sc 0.7500 0.2500 0.5000  4 Os 2.70, 4 Al 2.74
Al 0.1416 0.6250 0.0166  4 Al 2.61-2.79, 2 Os 2.70, 2 Sc 2.74
Al 0.3750 0.3916 0.5166  4 Al 2.61-2.79, 2 Os 2.70, 2 Sc 2.74
Al 0.6084 0.1250 0.9834  4 Al 2.61-2.79, 2 Os 2.70, 2 Sc 2.74
Al 0.8750 0.8584 0.4834  4 Al 2.61-2.79, 2 Os 2.70, 2 Sc 2.74
Os 0.2500 0.7500 0.5000  4 Al 2.70, 4 Sc 2.70
Os 0.5000 0.5000 0.0000  4 Al 2.70, 4 Sc 2.70

Values from the calculation:
ΔE_f: 0.012 eV per atom
DFT total energy: -101.57 eV per formula unit
D(E_F): 1.99 states/eV/f.u.



(2)
Computed, not measured: a PBEsol-optimized structure of Mg2GaHg2 at the SCAN level of DFT.

abc: 7.1112 7.1112 7.1112
angles: 145.46 145.46 49.66
Closest atoms and distances in Å follow each position.
Positions (direct):
Mg 0.2500 0.7500 0.5000  4 Hg 2.81, 4 Mg 2.99
Mg 0.7500 0.2500 0.5000  4 Hg 2.81, 4 Mg 2.99
Ga 0.0000 0.0000 0.0000  8 Hg 3.29
Hg 0.3939 0.3939 0.0000  1 Hg 2.74, 4 Mg 2.81
Hg 0.6061 0.6061 0.0000  1 Hg 2.74, 4 Mg 2.81

Values from the calculation:
ΔE_f: 0.001 eV per atom
DFT total energy: -162.62 eV per formula unit
D(E_F): 2.07 states/eV/f.u.



(3)
Computed, not measured: a PBEsol-optimized structure of Te2W3Se2S2 at the SCAN level of DFT.

abc: 3.2945 3.2945 20.7123
angles: 90.00 90.00 120.00
Closest atoms and distances in Å follow each position.
Positions (direct):
Te 0.0000 0.0000 0.0000  3 W 2.69
Te 0.0000 0.0000 0.1837  3 W 2.69
W 0.0000 0.0000 0.4232  6 Se 2.53
W 0.3333 0.6667 0.0918  6 Te 2.69
W 0.3333 0.6667 0.7299  6 S 2.43
Se 0.3333 0.6667 0.3426  3 W 2.53
Se 0.3333 0.6667 0.5037  3 W 2.53
S 0.0000 0.0000 0.6567  3 W 2.43
S 0.0000 0.0000 0.8031  3 W 2.43

Values from the calculation:
DFT total energy: -346.63 eV per formula unit
D(E_F): 0.65 states/eV/f.u.



(4)
Computed, not measured: a PBEsol-optimized structure of Zr3W at the SCAN level of DFT.

abc: 4.8098 4.8098 4.8098
angles: 60.00 60.00 60.00
Closest atoms and distances in Å follow each position.
Positions (direct):
Zr 0.0000 0.0000 0.0000  8 Zr 2.95
Zr 0.2500 0.2500 0.2500  4 Zr 2.95, 4 W 2.95
Zr 0.7500 0.7500 0.7500  4 W 2.95, 4 Zr 2.95
W 0.5000 0.5000 0.5000  8 Zr 2.95

Values from the calculation:
ΔE_f: 0.199 eV per atom
DFT total energy: -160.99 eV per formula unit
D(E_F): 6.40 states/eV/f.u.



(5)
Computed, not measured: a PBEsol-optimized structure of La3Tl at the SCAN level of DFT.

abc: 5.7571 5.7571 3.6880
angles: 90.00 90.00 90.97
Closest atoms and distances in Å follow each position.
Positions (direct):
La 0.0000 0.0000 0.0000  10 La 3.42-3.69
La 0.0000 0.5000 0.5000  4 Tl 3.42, 6 La 3.42-3.69
La 0.5000 0.0000 0.5000  4 Tl 3.42, 6 La 3.42-3.69
Tl 0.5000 0.5000 0.0000  8 La 3.42, 2 Tl 3.69

Values from the calculation:
ΔE_f: -0.262 eV per atom
DFT total energy: -202.72 eV per formula unit
D(E_F): 4.88 states/eV/f.u.



(6)
Computed, not measured: a PBEsol-optimized structure of Ta3BeCu at the SCAN level of DFT.

abc: 4.5541 4.5541 4.5541
angles: 90.00 90.00 90.00
Closest atoms and distances in Å follow each position.
Positions (direct):
Ta 0.0000 0.0000 0.5000  2 Cu 2.28
Ta 0.0000 0.5000 0.0000  2 Cu 2.28
Ta 0.5000 0.0000 0.0000  2 Cu 2.28
Be 0.5000 0.5000 0.5000  12 Ta 3.22
Cu 0.0000 0.0000 0.0000  6 Ta 2.28

Values from the calculation:
ΔE_f: 1.476 eV per atom
DFT total energy: -211.92 eV per formula unit
D(E_F): 7.54 states/eV/f.u.



Q: DFT total energy of number 1 (ScAl2Os)?
A: -101.57 eV per formula unit



Q: DFT total energy of number 4 (Zr3W)?
A: -160.99 eV per formula unit



Q: DFT total energy of number 5 (La3Tl)?
A: -202.72 eV per formula unit



Q: Which of these has the highest DFT total energy?
A: ScAl2Os